! TbPm3Cd6 PBE-GGA relaxed; values from VASP
&SYSTEM
  ibrav = 0, nat = 20, ntyp = 3
/
ATOMIC_SPECIES
Cd 112.41 Cd.upf
Pm 145.00 Pm.upf
Tb 158.93 Tb.upf
CELL_PARAMETERS angstrom
-4.216 0.876 -2.931
4.056 -4.489 -7.176
-5.545 -7.920 5.609
ATOMIC_POSITIONS crystal
Cd 0.750 0.951 0.106
Cd 0.250 0.861 0.307
Cd 0.750 0.139 0.693
Cd 0.250 0.146 0.189
Pm 0.750 0.237 0.997
Pm 0.750 0.651 0.216
Pm 0.250 0.526 0.392
Tb 0.750 0.055 0.394
Cd 0.750 0.333 0.292
Cd 0.750 0.854 0.811
Cd 0.250 0.233 0.487
Cd 0.750 0.767 0.513
Cd 0.250 0.049 0.894
Pm 0.250 0.763 0.003
Cd 0.250 0.667 0.708
Tb 0.250 0.945 0.606
Pm 0.250 0.349 0.784
Cd 0.250 0.450 0.090
Cd 0.750 0.550 0.910
Pm 0.750 0.474 0.608
! SG: No. 11
! Formation energy: -0.2959 eV/atom